Record 1
# InPd2Au

Crystalline InPd2Au at its relaxed geometry (PBE-GGA, the Open Quantum Materials Database).

Structure (POSCAR):
```
InPd2Au
1.0
4.5871 0.0000 0.0000
-2.2935 3.9725 0.0000
0.0000 0.0000 8.1295
In Pd Au
2 4 2
direct
0.3333 0.6667 0.2500
0.6667 0.3333 0.7500
0.3333 0.6667 0.5812
0.3333 0.6667 0.9188
0.6667 0.3333 0.0812
0.6667 0.3333 0.4188
0.0000 0.0000 0.2500
0.0000 0.0000 0.7500
```

Computed properties:
Final energy in eV for the cell shown: -34.23

Record 2
# InPd2Au

Crystalline InPd2Au at its relaxed geometry (PBE-GGA, the Open Quantum Materials Database).

Structure (POSCAR):
```
InPd2Au
1.0
3.3943 0.0000 0.0000
0.0000 3.3943 0.0000
0.0000 0.0000 5.9665
In Pd Au
1 2 1
direct
0.0000 0.0000 0.0000
0.5000 0.5000 0.2459
0.5000 0.5000 0.7541
0.0000 0.0000 0.5000
```

Computed properties:
Final energy in eV for the cell shown: -17.88

Record 3
# InPd2Au2

Crystalline InPd2Au2 at its relaxed geometry (PBE-GGA, the Open Quantum Materials Database).

Structure (POSCAR):
```
InPd2Au2
1.0
7.2329 0.0000 0.0000
0.0000 7.2329 0.0000
0.0000 0.0000 3.5761
In Pd Au
2 4 4
direct
0.0000 0.0000 0.0000
0.5000 0.5000 0.0000
0.1579 0.3421 0.5000
0.3421 0.8421 0.5000
0.6579 0.1579 0.5000
0.8421 0.6579 0.5000
0.1387 0.6387 0.0000
0.3613 0.1387 0.0000
0.6387 0.8613 0.0000
0.8613 0.3613 0.0000
```

Computed properties:
Final energy in eV for the cell shown: -40.42

Record 4
# InPd2Au

Crystalline InPd2Au at its relaxed geometry (PBE-GGA, the Open Quantum Materials Database).

Structure (POSCAR):
```
InPd2Au
1.0
4.5621 0.0000 0.0000
-2.2811 3.9509 0.0000
0.0000 0.0000 8.2050
In Pd Au
2 4 2
direct
0.3333 0.6667 0.2500
0.6667 0.3333 0.7500
0.3333 0.6667 0.5836
0.3333 0.6667 0.9164
0.6667 0.3333 0.0836
0.6667 0.3333 0.4164
0.0000 0.0000 0.0000
0.0000 0.0000 0.5000
```

Computed properties:
Final energy in eV for the cell shown: -34.98

Record 5
# In2PdAu

Crystalline In2PdAu at its relaxed geometry (PBE-GGA, the Open Quantum Materials Database).

Structure (POSCAR):
```
In2PdAu
1.0
3.8309 0.0000 0.0000
0.0000 10.1450 0.0000
0.0000 0.0000 8.2353
In Pd Au
8 4 4
direct
0.0000 0.1346 0.0591
0.0000 0.1346 0.4409
0.0000 0.8654 0.5591
0.0000 0.8654 0.9409
0.5000 0.3654 0.5591
0.5000 0.3654 0.9409
0.5000 0.6346 0.0591
0.5000 0.6346 0.4409
0.0000 0.2401 0.7500
0.0000 0.7599 0.2500
0.5000 0.2599 0.2500
0.5000 0.7401 0.7500
0.0000 0.4677 0.2500
0.0000 0.5323 0.7500
0.5000 0.0323 0.7500
0.5000 0.9677 0.2500
```

Computed properties:
Final energy in eV for the cell shown: -59.83

Record 6
# InPd2Au

Crystalline InPd2Au at its relaxed geometry (PBE-GGA, the Open Quantum Materials Database).

Structure (POSCAR):
```
InPd2Au
1.0
6.4916 0.0000 0.0000
0.0000 6.4916 0.0000
0.0000 0.0000 6.4916
In Pd Au
4 8 4
direct
0.0000 0.0000 0.0000
0.0000 0.5000 0.5000
0.5000 0.0000 0.5000
0.5000 0.5000 0.0000
0.0000 0.0000 0.5000
0.0000 0.5000 0.0000
0.2500 0.2500 0.7500
0.2500 0.7500 0.2500
0.5000 0.0000 0.0000
0.5000 0.5000 0.5000
0.7500 0.2500 0.2500
0.7500 0.7500 0.7500
0.2500 0.2500 0.2500
0.2500 0.7500 0.7500
0.7500 0.2500 0.7500
0.7500 0.7500 0.2500
```

Computed properties:
Final energy in eV for the cell shown: -70.69

Record 7
# PrIn2PdAu

Crystalline PrIn2PdAu at its relaxed geometry (PBE-GGA, the Open Quantum Materials Database).

Structure (POSCAR):
```
PrIn2PdAu
1.0
4.5775 0.0000 0.0000
0.0000 4.5775 0.0000
0.0000 0.0000 11.3042
Pr In Pd Au
2 4 2 2
direct
0.2500 0.2500 0.2378
0.7500 0.7500 0.7622
0.2500 0.2500 0.8796
0.2500 0.7500 0.5000
0.7500 0.2500 0.5000
0.7500 0.7500 0.1204
0.2500 0.7500 0.0000
0.7500 0.2500 0.0000
0.2500 0.2500 0.6437
0.7500 0.7500 0.3563
```

Computed properties:
Final energy in eV for the cell shown: -43.12

Record 8
# Pr3Zn2InPdAu2

Crystalline Pr3Zn2InPdAu2 at its relaxed geometry (PBE-GGA, the Open Quantum Materials Database).

Structure (POSCAR):
```
Pr3Zn2InPdAu2
1.0
4.0397 0.0000 0.0000
0.0000 6.7018 3.8865
0.0000 -6.7018 3.8865
Pr Zn In Pd Au
3 2 1 1 2
direct
0.0000 0.0000 0.0000
0.0000 0.1940 0.6076
0.0000 0.6076 0.1940
0.5000 0.5993 0.8451
0.5000 0.8451 0.5993
0.5000 0.3671 0.3671
0.0000 0.6174 0.6174
0.5000 0.2696 0.9358
0.5000 0.9358 0.2696
```

Computed properties:
Final energy in eV for the cell shown: -37.35

Record 9
# InPdAuS3

Crystalline InPdAuS3 at its relaxed geometry (PBE-GGA, the Open Quantum Materials Database).

Structure (POSCAR):
```
InPdAuS3
1.0
1.8723 -7.2741 0.0000
1.8723 7.2741 0.0000
0.0000 0.0000 8.4270
In Pd Au S
2 2 2 6
direct
0.2328 0.7672 0.7500
0.7672 0.2328 0.2500
0.5000 0.5000 0.0000
0.5000 0.5000 0.5000
0.0448 0.9552 0.2500
0.9552 0.0448 0.7500
0.1699 0.8301 0.0649
0.1699 0.8301 0.4351
0.4180 0.5820 0.2500
0.5820 0.4180 0.7500
0.8301 0.1699 0.5649
0.8301 0.1699 0.9351
```

Computed properties:
Final energy in eV for the cell shown: -46.93

Record 10
# InPdAu3S4

Crystalline InPdAu3S4 at its relaxed geometry (PBE-GGA, the Open Quantum Materials Database).

Structure (POSCAR):
```
InPdAu3S4
1.0
5.8923 0.0000 0.0000
0.0000 5.8923 0.0000
0.0000 0.0000 5.8923
In Pd Au S
1 1 3 4
direct
0.0000 0.0000 0.0000
0.5000 0.5000 0.5000
0.0000 0.5000 0.5000
0.5000 0.0000 0.5000
0.5000 0.5000 0.0000
0.2509 0.2509 0.2509
0.2509 0.7491 0.7491
0.7491 0.2509 0.7491
0.7491 0.7491 0.2509
```

Computed properties:
Final energy in eV for the cell shown: -33.67

Record 11
# Sc3In3PdAu2

Crystalline Sc3In3PdAu2 at its relaxed geometry (PBE-GGA, the Open Quantum Materials Database).

Structure (POSCAR):
```
Sc3In3PdAu2
1.0
7.7355 0.0000 0.0000
-3.8677 6.6991 0.0000
0.0000 0.0000 3.5327
Sc In Pd Au
3 3 1 2
direct
0.0000 0.3933 0.0000
0.3933 0.0000 0.0000
0.6067 0.6067 0.0000
0.0000 0.7292 0.5000
0.2708 0.2708 0.5000
0.7292 0.0000 0.5000
0.0000 0.0000 0.0000
0.3333 0.6667 0.5000
0.6667 0.3333 0.5000
```

Computed properties:
Final energy in eV for the cell shown: -45.30

Record 12
# Sc3In3Pd2Au

Crystalline Sc3In3Pd2Au at its relaxed geometry (PBE-GGA, the Open Quantum Materials Database).

Structure (POSCAR):
```
Sc3In3Pd2Au
1.0
7.7242 0.0000 0.0000
-3.8621 6.6893 0.0000
0.0000 0.0000 3.5135
Sc In Pd Au
3 3 2 1
direct
0.0000 0.3951 0.0000
0.3951 0.0000 0.0000
0.6049 0.6049 0.0000
0.0000 0.7177 0.5000
0.2823 0.2823 0.5000
0.7177 0.0000 0.5000
0.3333 0.6667 0.5000
0.6667 0.3333 0.5000
0.0000 0.0000 0.0000
```

Computed properties:
Final energy in eV for the cell shown: -47.10